NbGaCu2 | GGA-PBE | optimized geometry

Properties
energy relative to the elements	-0.069	eV/atom
space-group type	P4/mmm, No. 123
M_tot	0.0	μB/f.u.
N(E_F)	4.10	states/eV/f.u.
E	-21.6	eV per cell

a b c (Å): 3.804 3.804 4.029
angles (deg): 90.00 90.00 90.00
Sites, in units of the cell vectors:
Nb1 0.000 0.000 0.000
Ga1 0.500 0.500 0.000
Cu1 0.000 0.500 0.500
Cu2 0.500 0.000 0.500

=====

NbGaCu2 | GGA-PBE | optimized geometry

Properties
energy relative to the elements	-0.044	eV/atom
space-group type	P4/mmm, No. 123
M_tot	0.0	μB/f.u.
N(E_F)	2.43	states/eV/f.u.
E	-21.5	eV per cell

a b c (Å): 2.866 2.866 6.996
angles (deg): 90.00 90.00 90.00
Sites, in units of the cell vectors:
Nb1 0.000 0.000 0.000
Ga1 0.000 0.000 0.500
Cu1 0.500 0.500 0.273
Cu2 0.500 0.500 0.727

=====

NbGa2Cu | GGA-PBE | optimized geometry

Properties
energy relative to the elements	-0.287	eV/atom
space-group type	P4/mmm, No. 123
M_tot	0.0	μB/f.u.
N(E_F)	0.95	states/eV/f.u.
E	-21.4	eV per cell

a b c (Å): 3.984 3.984 3.803
angles (deg): 90.00 90.00 90.00
Sites, in units of the cell vectors:
Nb1 0.000 0.000 0.000
Ga1 0.000 0.500 0.500
Ga2 0.500 0.000 0.500
Cu1 0.500 0.500 0.000

=====

Question: What is the energy relative to the elements in the third record?
Answer: -0.287 eV/atom

=====

Question: Number 3 is which compound?
Answer: NbGa2Cu

=====

Question: Among the records above, which one has the highest N(E_F)?
Answer: number 1